Entry 1
The following is a DFT calculation (GGA-PBE) of a geometry-optimized Sr8Al2Zn structure.

a b c (Å): 9.7246 9.7246 9.7246
angles (deg): 146.39 120.23 70.34
With the nearest neighbours (Å) after each atom.
Fractional positions:
Sr 0.1271 0.3388 0.7883  3 Al 3.52-3.61, 1 Zn 3.79, 3 Sr 3.82-3.87
Sr 0.1327 0.1327 0.0000  2 Zn 3.51, 4 Sr 3.81-3.87, 2 Al 3.92
Sr 0.3270 0.0000 0.3270  1 Sr 3.35, 2 Al 3.53
Sr 0.4495 0.6612 0.7883  3 Al 3.52-3.61, 1 Zn 3.79, 3 Sr 3.82-3.87
Sr 0.5505 0.3388 0.2117  3 Al 3.52-3.61, 1 Zn 3.79, 3 Sr 3.82-3.87
Sr 0.6730 0.0000 0.6730  1 Sr 3.35, 2 Al 3.53
Sr 0.8673 0.8673 0.0000  2 Zn 3.51, 4 Sr 3.81-3.87, 2 Al 3.92
Sr 0.8729 0.6612 0.2117  3 Al 3.52-3.61, 1 Zn 3.79, 3 Sr 3.82-3.87
Al 0.3048 0.8048 0.5000  10 Sr 3.52-3.92
Al 0.6952 0.1952 0.5000  10 Sr 3.52-3.92
Zn 0.0000 0.5000 0.5000  8 Sr 3.51-3.79

Properties
The crystal system is orthorhombic. As for the space group: Immm, No. 71.


Entry 2
The following is a DFT calculation (GGA-PBE) of a geometry-optimized Sr8Al2Zn structure.

a b c (Å): 10.5984 10.5984 7.9970
angles (deg): 107.71 107.71 31.10
With the nearest neighbours (Å) after each atom.
Fractional positions:
Sr 0.0310 0.0310 0.2900  1 Al 3.38, 2 Zn 3.46
Sr 0.2053 0.2053 0.8102  3 Al 3.33-3.67
Sr 0.3332 0.3332 0.5399  3 Al 3.38-3.58, 1 Zn 3.52
Sr 0.4026 0.4026 0.0527  1 Zn 3.50, 2 Al 3.62, 2 Sr 3.88-3.89
Sr 0.5974 0.5974 0.9473  1 Zn 3.50, 2 Al 3.62, 2 Sr 3.88-3.89
Sr 0.6668 0.6668 0.4601  3 Al 3.38-3.58, 1 Zn 3.52
Sr 0.7947 0.7947 0.1898  3 Al 3.33-3.67
Sr 0.9690 0.9690 0.7100  1 Al 3.38, 2 Zn 3.46
Al 0.1830 0.1830 0.2045  9 Sr 3.33-3.67
Al 0.8170 0.8170 0.7955  9 Sr 3.33-3.67
Zn 0.5000 0.5000 0.5000  8 Sr 3.46-3.52

Properties
The crystal system is monoclinic. As for the space group: C2/m, No. 12.


Which is most stable? The ranking, best first, is entry 2, entry 1.


Entry 1
The following is a DFT calculation (GGA-PBE) of a geometry-optimized SrZrAl3 structure.

a b c (Å): 5.2505 5.2505 5.2505
angles (deg): 90.00 90.00 90.00
With the nearest neighbours (Å) after each atom.
Fractional positions:
Sr 0.0000 0.0000 0.0000  6 Al 2.63
Zr 0.5000 0.5000 0.5000  12 Al 3.71
Al 0.0000 0.0000 0.5000  2 Sr 2.63
Al 0.0000 0.5000 0.0000  2 Sr 2.63
Al 0.5000 0.0000 0.0000  2 Sr 2.63

Properties
The crystal system is cubic. As for the space group: Pm-3m, No. 221.


Entry 2
The following is a DFT calculation (GGA-PBE) of a geometry-optimized SrZrAl3 structure.

a b c (Å): 5.2782 5.2782 5.2782
angles (deg): 90.00 90.00 90.00
With the nearest neighbours (Å) after each atom.
Fractional positions:
Sr 0.0000 0.0000 0.0000  12 Al 3.73
Zr 0.5000 0.5000 0.5000  6 Al 2.64
Al 0.0000 0.5000 0.5000  2 Zr 2.64
Al 0.5000 0.0000 0.5000  2 Zr 2.64
Al 0.5000 0.5000 0.0000  2 Zr 2.64

Properties
The crystal system is cubic. As for the space group: Pm-3m, No. 221.


Which is most stable? The ranking, best first, is entry 2, entry 1.


Entry 1
The following is a DFT calculation (GGA-PBE) of a geometry-optimized SrZr3Al structure.

a b c (Å): 5.2513 5.2513 5.2513
angles (deg): 90.00 90.00 90.00
With the nearest neighbours (Å) after each atom.
Fractional positions:
Sr 0.0000 0.0000 0.0000  12 Zr 3.71
Zr 0.0000 0.5000 0.5000  2 Al 2.63
Zr 0.5000 0.0000 0.5000  2 Al 2.63
Zr 0.5000 0.5000 0.0000  2 Al 2.63
Al 0.5000 0.5000 0.5000  6 Zr 2.63

Properties
The crystal system is cubic. As for the space group: Pm-3m, No. 221.


Entry 2
The following is a DFT calculation (GGA-PBE) of a geometry-optimized SrZr3Al structure.

a b c (Å): 5.1010 5.1010 5.1010
angles (deg): 90.00 90.00 90.00
With the nearest neighbours (Å) after each atom.
Fractional positions:
Sr 0.0000 0.0000 0.0000  6 Zr 2.55
Zr 0.0000 0.0000 0.5000  2 Sr 2.55
Zr 0.0000 0.5000 0.0000  2 Sr 2.55
Zr 0.5000 0.0000 0.0000  2 Sr 2.55
Al 0.5000 0.5000 0.5000  12 Zr 3.61

Properties
The crystal system is cubic. As for the space group: Pm-3m, No. 221.


Which is most stable? The ranking, best first, is entry 1, entry 2.


Entry 1
The following is a DFT calculation (GGA-PBE) of a geometry-optimized Ta3Al4 structure.

a b c (Å): 11.0016 11.0016 11.0016
angles (deg): 162.56 162.56 24.77
With the nearest neighbours (Å) after each atom.
Fractional positions:
Ta 0.0000 0.0000 0.0000  10 Al 2.88-3.11
Ta 0.2822 0.2822 0.0000  4 Ta 2.73, 6 Al 2.83-3.03
Ta 0.7178 0.7178 0.0000  4 Ta 2.73, 6 Al 2.83-3.03
Al 0.1447 0.1447 0.0000  4 Al 2.77, 5 Ta 2.83-2.95
Al 0.4233 0.4233 0.0000  4 Al 2.77, 5 Ta 2.88-3.03
Al 0.5767 0.5767 0.0000  4 Al 2.77, 5 Ta 2.88-3.03
Al 0.8553 0.8553 0.0000  4 Al 2.77, 5 Ta 2.83-2.95

Properties
The crystal system is tetragonal. As for the space group: I4/mmm, No. 139.


Entry 2
The following is a DFT calculation (GGA-PBE) of a geometry-optimized Ta3Al4 structure.

a b c (Å): 5.4291 5.4291 4.9956
angles (deg): 90.00 90.00 120.00
With the nearest neighbours (Å) after each atom.
Fractional positions:
Ta 0.0000 0.5000 0.0000  4 Ta 2.71, 8 Al 2.95-2.98
Ta 0.5000 0.0000 0.0000  4 Ta 2.71, 8 Al 2.95-2.98
Ta 0.5000 0.5000 0.0000  4 Ta 2.71, 8 Al 2.95-2.98
Al 0.0000 0.0000 0.2476  2 Al 2.47-2.52
Al 0.0000 0.0000 0.7524  2 Al 2.47-2.52
Al 0.3333 0.6667 0.5000  6 Ta 2.95, 3 Al 3.13
Al 0.6667 0.3333 0.5000  6 Ta 2.95, 3 Al 3.13

Properties
The crystal system is hexagonal. As for the space group: P6/mmm, No. 191.


Which is most stable? The ranking, best first, is entry 1, entry 2.


Entry 1
The following is a DFT calculation (GGA-PBE) of a geometry-optimized Ta5Al4 structure.

a b c (Å): 8.0086 8.0086 5.4793
angles (deg): 90.00 90.00 120.00
With the nearest neighbours (Å) after each atom.
Fractional positions:
Ta 0.0000 0.2815 0.2500  7 Al 2.64-2.86
Ta 0.0000 0.7185 0.7500  7 Al 2.64-2.86
Ta 0.2815 0.0000 0.2500  7 Al 2.64-2.86
Ta 0.2815 0.2815 0.7500  7 Al 2.64-2.86
Ta 0.3333 0.6667 0.0000  2 Ta 2.74, 6 Al 2.84
Ta 0.3333 0.6667 0.5000  2 Ta 2.74, 6 Al 2.84
Ta 0.6667 0.3333 0.0000  2 Ta 2.74, 6 Al 2.84
Ta 0.6667 0.3333 0.5000  2 Ta 2.74, 6 Al 2.84
Ta 0.7185 0.0000 0.7500  7 Al 2.64-2.86
Ta 0.7185 0.7185 0.2500  7 Al 2.64-2.86
Al 0.0000 0.0000 0.0000  6 Ta 2.64, 2 Al 2.74
Al 0.0000 0.0000 0.5000  6 Ta 2.64, 2 Al 2.74
Al 0.0000 0.3846 0.7500  9 Ta 2.67-2.86
Al 0.0000 0.6154 0.2500  9 Ta 2.67-2.86
Al 0.3846 0.0000 0.7500  9 Ta 2.67-2.86
Al 0.3846 0.3846 0.2500  9 Ta 2.67-2.86
Al 0.6154 0.0000 0.2500  9 Ta 2.67-2.86
Al 0.6154 0.6154 0.7500  9 Ta 2.67-2.86

Properties
The crystal system is hexagonal. As for the space group: P6_3/mcm, No. 193.


Entry 2
The following is a DFT calculation (GGA-PBE) of a geometry-optimized Ta5Al4 structure.

a b c (Å): 6.7668 6.7668 6.7668
angles (deg): 94.22 94.22 148.51
With the nearest neighbours (Å) after each atom.
Fractional positions:
Ta 0.0000 0.0000 0.0000  8 Ta 2.88, 4 Al 3.00
Ta 0.3299 0.3299 0.6598  4 Ta 2.78-2.88, 6 Al 2.81-3.04
Ta 0.3299 0.6701 0.0000  4 Ta 2.78-2.88, 6 Al 2.81-3.04
Ta 0.6701 0.3299 0.0000  4 Ta 2.78-2.88, 6 Al 2.81-3.04
Ta 0.6701 0.6701 0.3402  4 Ta 2.78-2.88, 6 Al 2.81-3.04
Al 0.0000 0.3262 0.3262  7 Ta 2.81-3.04, 4 Al 2.92
Al 0.0000 0.6738 0.6738  7 Ta 2.81-3.04, 4 Al 2.92
Al 0.3262 0.0000 0.3262  7 Ta 2.81-3.04, 4 Al 2.92
Al 0.6738 0.0000 0.6738  7 Ta 2.81-3.04, 4 Al 2.92

Properties
The crystal system is tetragonal. As for the space group: I4/mmm, No. 139.


Which is most stable? The ranking, best first, is entry 1, entry 2.


Entry 1
The following is a DFT calculation (GGA-PBE) of a geometry-optimized Ta5Al3 structure.

a b c (Å): 7.7548 7.7548 7.7496
angles (deg): 96.27 96.27 141.34
With the nearest neighbours (Å) after each atom.
Fractional positions:
Ta 0.0767 0.7246 0.7976  6 Al 2.73-2.97, 2 Ta 2.93-2.96
Ta 0.2401 0.4423 0.6480  6 Al 2.74-3.00, 3 Ta 2.93-3.07
Ta 0.2553 0.2553 0.0107  2 Ta 2.57, 4 Al 2.75-2.77
Ta 0.2754 0.9233 0.2024  6 Al 2.73-2.97, 2 Ta 2.93-2.96
Ta 0.4423 0.2401 0.6480  6 Al 2.74-3.00, 3 Ta 2.93-3.07
Ta 0.5577 0.7599 0.3520  6 Al 2.74-3.00, 3 Ta 2.93-3.07
Ta 0.7246 0.0767 0.7976  6 Al 2.73-2.97, 2 Ta 2.93-2.96
Ta 0.7447 0.7447 0.9893  2 Ta 2.57, 4 Al 2.75-2.77
Ta 0.7599 0.5577 0.3520  6 Al 2.74-3.00, 3 Ta 2.93-3.07
Ta 0.9233 0.2754 0.2024  6 Al 2.73-2.97, 2 Ta 2.93-2.96
Al 0.1416 0.1416 0.3336  10 Ta 2.74-3.00
Al 0.2470 0.7530 0.5000  2 Al 2.57, 8 Ta 2.73-2.77
Al 0.3338 0.6662 0.0000  10 Ta 2.74-2.97
Al 0.6662 0.3338 0.0000  10 Ta 2.74-2.97
Al 0.7530 0.2470 0.5000  2 Al 2.57, 8 Ta 2.73-2.77
Al 0.8584 0.8584 0.6664  10 Ta 2.74-3.00

Properties
The crystal system is monoclinic. As for the space group: C2/m, No. 12.


Entry 2
The following is a DFT calculation (GGA-PBE) of a geometry-optimized Ta5Al3 structure.

a b c (Å): 7.8103 7.8103 5.2407
angles (deg): 90.00 90.00 120.00
With the nearest neighbours (Å) after each atom.
Fractional positions:
Ta 0.0000 0.2334 0.2500  5 Al 2.74-2.94
Ta 0.0000 0.7666 0.7500  5 Al 2.74-2.94
Ta 0.2334 0.0000 0.2500  5 Al 2.74-2.94
Ta 0.2334 0.2334 0.7500  5 Al 2.74-2.94
Ta 0.3333 0.6667 0.0000  2 Ta 2.62, 6 Al 2.72
Ta 0.3333 0.6667 0.5000  2 Ta 2.62, 6 Al 2.72
Ta 0.6667 0.3333 0.0000  2 Ta 2.62, 6 Al 2.72
Ta 0.6667 0.3333 0.5000  2 Ta 2.62, 6 Al 2.72
Ta 0.7666 0.0000 0.7500  5 Al 2.74-2.94
Ta 0.7666 0.7666 0.2500  5 Al 2.74-2.94
Al 0.0000 0.4027 0.7500  9 Ta 2.72-2.94, 2 Al 3.03
Al 0.0000 0.5973 0.2500  9 Ta 2.72-2.94, 2 Al 3.03
Al 0.4027 0.0000 0.7500  9 Ta 2.72-2.94, 2 Al 3.03
Al 0.4027 0.4027 0.2500  9 Ta 2.72-2.94, 2 Al 3.03
Al 0.5973 0.0000 0.2500  9 Ta 2.72-2.94, 2 Al 3.03
Al 0.5973 0.5973 0.7500  9 Ta 2.72-2.94, 2 Al 3.03

Properties
The crystal system is hexagonal. As for the space group: P6_3/mcm, No. 193.


Entry 3
The following is a DFT calculation (GGA-PBE) of a geometry-optimized Ta5Al3 structure.

a b c (Å): 6.1388 6.1388 3.6579
angles (deg): 90.00 90.00 90.96
With the nearest neighbours (Å) after each atom.
Fractional positions:
Ta 0.0000 0.0000 0.0000  4 Al 2.84, 8 Ta 2.87-3.07
Ta 0.0000 0.5000 0.0000  6 Al 2.82-3.07, 6 Ta 2.85-3.07
Ta 0.2565 0.2565 0.5000  6 Al 2.78-3.10, 6 Ta 2.85-2.87
Ta 0.5000 0.0000 0.0000  6 Al 2.82-3.07, 6 Ta 2.85-3.07
Ta 0.7435 0.7435 0.5000  6 Al 2.78-3.10, 6 Ta 2.85-2.87
Al 0.2484 0.7516 0.5000  10 Ta 2.82-3.10, 2 Al 2.86
Al 0.5000 0.5000 0.0000  8 Ta 2.78-3.07, 4 Al 2.86
Al 0.7516 0.2484 0.5000  10 Ta 2.82-3.10, 2 Al 2.86

Properties
The crystal system is orthorhombic. As for the space group: Cmmm, No. 65.


Which is most stable? The ranking, best first, is entry 1, entry 3, entry 2.


Entry 1
The following is a DFT calculation (GGA-PBE) of a geometry-optimized TbTaAl2 structure.

a b c (Å): 3.5182 3.5182 6.4655
angles (deg): 90.00 90.00 90.00
With the nearest neighbours (Å) after each atom.
Fractional positions:
Tb 0.0000 0.0000 0.0000  8 Al 3.15, 2 Ta 3.23, 4 Tb 3.52
Ta 0.0000 0.0000 0.5000  8 Al 2.81
Al 0.5000 0.5000 0.2994  1 Al 2.59, 4 Ta 2.81
Al 0.5000 0.5000 0.7006  1 Al 2.59, 4 Ta 2.81

Properties
The crystal system is tetragonal. As for the space group: P4/mmm, No. 123.


Entry 2
The following is a DFT calculation (GGA-PBE) of a geometry-optimized TbTaAl2 structure.

a b c (Å): 10.0963 10.0963 10.0963
angles (deg): 17.42 17.42 17.42
With the nearest neighbours (Å) after each atom.
Fractional positions:
Tb 0.0000 0.0000 0.0000  6 Tb 3.06, 6 Al 3.25
Ta 0.5000 0.5000 0.5000  6 Al 2.86, 6 Ta 3.06
Al 0.2420 0.2420 0.2420  3 Ta 2.86, 6 Al 3.06
Al 0.7580 0.7580 0.7580  3 Ta 2.86, 6 Al 3.06

Properties
The crystal system is trigonal. As for the space group: R-3m, No. 166.


Which is most stable? The ranking, best first, is entry 1, entry 2.


Entry 1
The following is a DFT calculation (GGA-PBE) of a geometry-optimized TaAl3Tc structure.

a b c (Å): 4.5694 4.5694 4.5694
angles (deg): 90.00 90.00 90.00
With the nearest neighbours (Å) after each atom.
Fractional positions:
Ta 0.0000 0.0000 0.0000  12 Al 3.23
Al 0.0000 0.5000 0.5000  2 Tc 2.28
Al 0.5000 0.0000 0.5000  2 Tc 2.28
Al 0.5000 0.5000 0.0000  2 Tc 2.28
Tc 0.5000 0.5000 0.5000  6 Al 2.28

Properties
The crystal system is cubic. As for the space group: Pm-3m, No. 221.


Entry 2
The following is a DFT calculation (GGA-PBE) of a geometry-optimized TaAl3Tc structure.

a b c (Å): 4.9297 4.9297 4.9297
angles (deg): 90.00 90.00 90.00
With the nearest neighbours (Å) after each atom.
Fractional positions:
Ta 0.0000 0.0000 0.0000  6 Al 2.46
Al 0.0000 0.0000 0.5000  2 Ta 2.46
Al 0.0000 0.5000 0.0000  2 Ta 2.46
Al 0.5000 0.0000 0.0000  2 Ta 2.46
Tc 0.5000 0.5000 0.5000  12 Al 3.49

Properties
The crystal system is cubic. As for the space group: Pm-3m, No. 221.


Which is most stable? The ranking, best first, is entry 1, entry 2.